{
  "formula": "MgAgOs",
  "functional": "meta-GGA SCAN",
  "state": "single point on PBEsol structure",
  "lattice_angstrom": [[-0.2175, -1.7021, 1.9654], [-1.6346, -3.1266, -2.8888], [4.4891, 0.2884, 0.7466]],
  "species": ["Ag", "Os", "Mg"],
  "frac_coords": [[0.8833, 0.0000, 0.0000], [0.3396, 0.6667, 0.3333], [0.7771, 0.3333, 0.6667]],
  "m_tot_mub_per_cell": 0.0,
  "ef_ev_per_atom": 0.400,
  "crystal_system": "trigonal",
  "volume_a3_per_atom": 15.661
}

---

{
  "formula": "B2PtRh",
  "functional": "meta-GGA SCAN",
  "state": "single point on PBEsol structure",
  "lattice_angstrom": [[4.6899, 0.0000, 0.0000], [0.0000, 4.6899, 0.0000], [-2.3450, -2.3450, 4.6844]],
  "species": ["B", "B", "B", "B", "Pt", "Pt", "Rh", "Rh"],
  "frac_coords": [[0.1250, 0.1297, 0.7500], [0.8703, 0.3750, 0.2500], [0.3797, 0.8750, 0.2500], [0.6250, 0.6203, 0.7500], [0.0000, 0.0000, 0.0000], [0.2500, 0.7500, 0.5000], [0.5000, 0.5000, 0.0000], [0.7500, 0.2500, 0.5000]],
  "m_tot_mub_per_cell": 0.0,
  "ef_ev_per_atom": -0.080,
  "crystal_system": "tetragonal",
  "volume_a3_per_atom": 12.879
}

---

{
  "formula": "K2AlIn",
  "functional": "meta-GGA SCAN",
  "state": "single point on PBEsol structure",
  "lattice_angstrom": [[4.7831, 0.0000, 0.0000], [2.3915, 4.1423, 0.0000], [2.3915, 1.3808, 8.3618]],
  "species": ["K", "K", "Al", "In"],
  "frac_coords": [[0.7835, 0.7835, 0.6496], [0.9665, 0.9665, 0.1004], [0.5418, 0.5418, 0.3747], [0.2082, 0.2082, 0.3753]],
  "m_tot_mub_per_cell": 0.1,
  "ef_ev_per_atom": -0.052,
  "crystal_system": "trigonal",
  "volume_a3_per_atom": 41.418,
  "de_polymorph_mev_per_atom": 0
}

---

{
  "formula": "TcAgCN2",
  "functional": "meta-GGA SCAN",
  "state": "single point on PBEsol structure",
  "lattice_angstrom": [[3.7143, 0.0000, 0.0000], [0.0000, 3.7143, 0.0000], [0.0000, 0.0000, 3.8596]],
  "species": ["N", "N", "Ag", "Tc", "C"],
  "frac_coords": [[0.5000, 0.0000, 0.0000], [0.0000, 0.5000, 0.0000], [0.0000, 0.0000, 0.5000], [0.5000, 0.5000, 0.5000], [0.0000, 0.0000, 0.0000]],
  "m_tot_mub_per_cell": 2.1,
  "energy_ev_per_atom": -16.46,
  "crystal_system": "tetragonal",
  "volume_a3_per_atom": 10.650
}

---

{
  "formula": "Co2H2Os",
  "functional": "meta-GGA SCAN",
  "state": "single point on PBEsol structure",
  "lattice_angstrom": [[-1.0071, 2.3371, 0.6488], [-2.3699, -1.0977, 0.2758], [2.8018, -1.6536, 4.9900]],
  "species": ["Co", "Co", "Os", "H", "H"],
  "frac_coords": [[0.3458, 0.3458, 0.6916], [0.6542, 0.6542, 0.3084], [0.0000, 0.0000, 0.0000], [0.7500, 0.2500, 0.5000], [0.2500, 0.7500, 0.5000]],
  "m_tot_mub_per_cell": 1.5,
  "energy_ev_per_atom": -22.48,
  "crystal_system": "tetragonal",
  "volume_a3_per_atom": 7.808
}

---

{
  "formula": "SrSbPb2",
  "functional": "meta-GGA SCAN",
  "state": "single point on PBEsol structure",
  "lattice_angstrom": [[4.8082, 0.0000, 0.0000], [0.0000, 4.8082, 0.0000], [0.0000, 0.0000, 5.0718]],
  "species": ["Sr", "Pb", "Pb", "Sb"],
  "frac_coords": [[0.0000, 0.0000, 0.5000], [0.0000, 0.5000, 0.0000], [0.5000, 0.0000, 0.0000], [0.5000, 0.5000, 0.5000]],
  "m_tot_mub_per_cell": 0.0,
  "energy_ev_per_atom": -53.27,
  "crystal_system": "tetragonal",
  "volume_a3_per_atom": 29.314
}

---

{
  "formula": "NaAl3F",
  "functional": "meta-GGA SCAN",
  "state": "single point on PBEsol structure",
  "lattice_angstrom": [[-3.2022, -4.0863, -0.1584], [2.2249, -1.5722, -4.4221], [3.4311, -2.7942, 2.7197]],
  "species": ["Al", "Al", "Al", "Na", "F"],
  "frac_coords": [[0.0000, 0.5000, 0.0000], [0.0000, 0.0000, 0.5000], [0.5000, 0.0000, 0.0000], [0.0000, 0.0000, 0.0000], [0.5000, 0.5000, 0.5000]],
  "m_tot_mub_per_cell": 0.0,
  "energy_ev_per_atom": -5.31,
  "crystal_system": "cubic",
  "volume_a3_per_atom": 28.023
}

---

{
  "formula": "RbNa3O",
  "functional": "meta-GGA SCAN",
  "state": "single point on PBEsol structure",
  "lattice_angstrom": [[-3.6484, 3.5781, 0.2170], [-2.1813, -2.4617, 3.9169], [2.8446, 2.7014, 3.2819]],
  "species": ["O", "Na", "Na", "Na", "Rb"],
  "frac_coords": [[0.0000, 0.0000, 0.0000], [0.5000, 0.0000, 0.0000], [0.0000, 0.5000, 0.0000], [0.0000, 0.0000, 0.5000], [0.5000, 0.5000, 0.5000]],
  "m_tot_mub_per_cell": 0.0,
  "energy_ev_per_atom": -8.36,
  "crystal_system": "cubic",
  "volume_a3_per_atom": 26.761
}

---

{
  "formula": "MgNiAu2",
  "functional": "meta-GGA SCAN",
  "state": "single point on PBEsol structure",
  "lattice_angstrom": [[3.1722, 0.0000, 0.0000], [0.0000, 3.1722, 0.0000], [0.0000, 0.0000, 6.0473]],
  "species": ["Mg", "Au", "Au", "Ni"],
  "frac_coords": [[0.5000, 0.5000, 0.0000], [0.0000, 0.0000, 0.2670], [0.0000, 0.0000, 0.7330], [0.5000, 0.5000, 0.5000]],
  "m_tot_mub_per_cell": 0.0,
  "ef_ev_per_atom": -0.311,
  "crystal_system": "tetragonal",
  "volume_a3_per_atom": 15.214
}

---

{
  "formula": "Li2CoSiO4",
  "functional": "meta-GGA SCAN",
  "state": "single point on PBEsol structure",
  "lattice_angstrom": [[4.9836, 0.0000, 0.0000], [-2.4918, 4.3160, 0.0000], [0.0000, 0.0000, 11.2871]],
  "species": ["Li", "Li", "Li", "Li", "Li", "Li", "Si", "Si", "Si", "O", "O", "O", "O", "O", "O", "O", "O", "O", "O", "O", "O", "Co", "Co", "Co"],
  "frac_coords": [[0.6704, 0.1225, 0.2529], [0.1225, 0.6704, 0.0804], [0.3296, 0.4521, 0.4137], [0.5479, 0.8775, 0.7471], [0.8775, 0.5479, 0.5863], [0.4521, 0.3296, 0.9196], [0.0000, 0.8169, 0.3333], [0.1831, 0.1831, 0.6667], [0.8169, 0.0000, 0.0000], [0.1353, 0.8443, 0.7073], [0.8443, 0.1353, 0.6261], [0.4326, 0.3146, 0.5564], [0.2909, 0.1557, 0.2927], [0.8647, 0.7091, 0.9594], [0.8820, 0.5674, 0.2231], [0.6854, 0.1180, 0.8897], [0.5674, 0.8820, 0.1103], [0.1557, 0.2909, 0.0406], [0.3146, 0.4326, 0.7769], [0.7091, 0.8647, 0.3739], [0.1180, 0.6854, 0.4436], [0.0000, 0.5366, 0.8333], [0.4634, 0.4634, 0.1667], [0.5366, 0.0000, 0.5000]],
  "m_tot_mub_per_cell": 9.0,
  "crystal_system": "trigonal",
  "volume_a3_per_atom": 10.116,
  "de_polymorph_mev_per_atom": 81
}

---

{
  "formula": "LiRuNF2",
  "functional": "meta-GGA SCAN",
  "state": "single point on PBEsol structure",
  "lattice_angstrom": [[3.2331, 0.0000, 0.0000], [0.0000, 3.2331, 0.0000], [0.0000, 0.0000, 4.3320]],
  "species": ["N", "Li", "F", "F", "Ru"],
  "frac_coords": [[0.0000, 0.0000, 0.5000], [0.0000, 0.0000, 0.0000], [0.0000, 0.5000, 0.0000], [0.5000, 0.0000, 0.0000], [0.5000, 0.5000, 0.5000]],
  "m_tot_mub_per_cell": 4.2,
  "energy_ev_per_atom": -11.19,
  "crystal_system": "tetragonal",
  "volume_a3_per_atom": 9.056
}

---

{
  "formula": "FeSnN3",
  "functional": "meta-GGA SCAN",
  "state": "single point on PBEsol structure",
  "lattice_angstrom": [[-2.9486, 2.0443, -1.0360], [-2.2791, -2.7934, 0.9746], [-0.2415, 1.4017, 3.4531]],
  "species": ["Sn", "N", "N", "N", "Fe"],
  "frac_coords": [[0.5000, 0.5000, 0.5000], [0.5000, 0.0000, 0.0000], [0.0000, 0.0000, 0.5000], [0.0000, 0.5000, 0.0000], [0.0000, 0.0000, 0.0000]],
  "m_tot_mub_per_cell": 3.6,
  "energy_ev_per_atom": -15.40,
  "crystal_system": "cubic",
  "volume_a3_per_atom": 10.417
}

---

{
  "formula": "YC5",
  "functional": "meta-GGA SCAN",
  "state": "single point on PBEsol structure",
  "lattice_angstrom": [[-0.3444, 1.5622, 2.0095], [3.2284, -2.3906, 2.4118], [1.2759, 3.6628, -2.6288]],
  "species": ["C", "C", "C", "C", "C", "Y"],
  "frac_coords": [[0.5000, 0.0000, 0.5000], [0.0000, 0.3333, 0.6667], [0.0000, 0.6667, 0.3333], [0.5000, 0.5000, 0.5000], [0.5000, 0.5000, 0.0000], [0.0000, 0.0000, 0.0000]],
  "m_tot_mub_per_cell": 0.0,
  "ef_ev_per_atom": 2.568,
  "crystal_system": "hexagonal",
  "volume_a3_per_atom": 8.139
}

---

{
  "formula": "RbW2SeN",
  "functional": "meta-GGA SCAN",
  "state": "single point on PBEsol structure",
  "lattice_angstrom": [[4.0817, 0.0000, 0.0000], [0.0000, 4.0817, 0.0000], [0.0000, 0.0000, 5.4846]],
  "species": ["W", "W", "Se", "Rb", "N"],
  "frac_coords": [[0.5000, 0.0000, 0.0000], [0.0000, 0.5000, 0.0000], [0.5000, 0.5000, 0.5000], [0.0000, 0.0000, 0.5000], [0.0000, 0.0000, 0.0000]],
  "m_tot_mub_per_cell": 0.0,
  "energy_ev_per_atom": -37.01,
  "crystal_system": "tetragonal",
  "volume_a3_per_atom": 18.275
}